DFT (PBE) results for crystalline ReOsN3 at its relaxed geometry.

abc: 3.871 3.871 3.871
angles: 90.00 90.00 90.00
Fractional coordinates of all 5 atoms:
Re (0.000, 0.000, 0.000)
N (0.500, 0.000, 0.000)
Os (0.500, 0.500, 0.500)
N (0.000, 0.500, 0.000)
N (0.000, 0.000, 0.500)

## Properties
symmetry	No. 221
calculated total energy	-8.11	eV/atom
ΔE_f (raw)	1.62	eV per atom

DFT (PBE) results for crystalline Cs2RbPbF6 at its relaxed geometry.

abc: 7.053 7.053 12.655
angles: 73.82 73.82 60.00
Fractional coordinates of all 20 atoms:
Cs (0.737, 0.737, 0.789)
F (0.623, 0.623, 0.622)
Pb (0.500, 0.500, 0.500)
Rb (0.596, 0.596, 0.211)
Cs (0.263, 0.263, 0.211)
F (0.174, 0.174, 0.897)
F (0.826, 0.245, 0.103)
Pb (0.000, 0.000, 0.000)
F (0.867, 0.377, 0.378)
F (0.826, 0.826, 0.103)
Cs (0.143, 0.143, 0.570)
F (0.377, 0.377, 0.378)
F (0.174, 0.755, 0.897)
Rb (0.404, 0.404, 0.789)
F (0.755, 0.174, 0.897)
Cs (0.857, 0.857, 0.430)
F (0.245, 0.826, 0.103)
F (0.133, 0.623, 0.622)
F (0.377, 0.867, 0.378)
F (0.623, 0.133, 0.622)

## Properties
symmetry	No. 166
calculated total energy	-4.28	eV/atom
ΔE_f (raw)	-2.52	eV per atom
excess energy over the best structure of this formula in the dataset	0	meV per atom